Record 1
# PBE-GGA TaTl2PdCl, optimized geometry
# DFT total energy	-3.703	eV per atom
# symmetry	No. 123
# raw formation energy	1.02	eV/atom
# volume	26.43	Å³/atom
data_TaTl2PdCl
_symmetry_space_group_name_H-M 'P 1'
_symmetry_Int_Tables_number 1
_symmetry_space_group_name_Hall 'P 1'
_cell_length_a 5.384
_cell_length_b 5.384
_cell_length_c 4.559
_cell_angle_alpha 90.00
_cell_angle_beta 90.00
_cell_angle_gamma 90.00
loop_
_atom_site_label
_atom_site_type_symbol
_atom_site_fract_x
_atom_site_fract_y
_atom_site_fract_z
Ta1 Ta 0.000 0.000 0.000
Tl1 Tl 0.000 0.500 0.500
Tl2 Tl 0.500 0.000 0.500
Pd1 Pd 0.500 0.500 0.500
Cl1 Cl 0.500 0.500 0.000

=====

Record 2
# PBE-GGA Tb3TePdCl, optimized geometry
# DFT total energy	-5.125	eV per atom
# symmetry	No. 11
# raw formation energy	-1.11	eV/atom
# volume	28.32	Å³/atom
data_Tb3TePdCl
_symmetry_space_group_name_H-M 'P 1'
_symmetry_Int_Tables_number 1
_symmetry_space_group_name_Hall 'P 1'
_cell_length_a 8.544
_cell_length_b 4.114
_cell_length_c 9.750
_cell_angle_alpha 90.00
_cell_angle_beta 97.49
_cell_angle_gamma 90.00
loop_
_atom_site_label
_atom_site_type_symbol
_atom_site_fract_x
_atom_site_fract_y
_atom_site_fract_z
Tb1 Tb 0.135 0.250 0.308
Tb2 Tb 0.150 0.250 0.914
Tb3 Tb 0.307 0.750 0.619
Tb4 Tb 0.693 0.250 0.381
Tb5 Tb 0.850 0.750 0.086
Tb6 Tb 0.865 0.750 0.692
Te1 Te 0.410 0.750 0.317
Te2 Te 0.590 0.250 0.683
Pd1 Pd 0.062 0.250 0.604
Pd2 Pd 0.938 0.750 0.396
Cl1 Cl 0.358 0.750 0.912
Cl2 Cl 0.642 0.250 0.088

=====

Record 3
# PBE-GGA Tc3PdCl, optimized geometry
# DFT total energy	-5.550	eV per atom
# relative energy among the computed polymorphs	1.0279	eV/atom
# symmetry	No. 221
# raw formation energy	2.08	eV/atom
# volume	25.42	Å³/atom
data_Tc3PdCl
_symmetry_space_group_name_H-M 'P 1'
_symmetry_Int_Tables_number 1
_symmetry_space_group_name_Hall 'P 1'
_cell_length_a 5.028
_cell_length_b 5.028
_cell_length_c 5.028
_cell_angle_alpha 90.00
_cell_angle_beta 90.00
_cell_angle_gamma 90.00
loop_
_atom_site_label
_atom_site_type_symbol
_atom_site_fract_x
_atom_site_fract_y
_atom_site_fract_z
Tc1 Tc 0.000 0.000 0.500
Tc2 Tc 0.000 0.500 0.000
Tc3 Tc 0.500 0.000 0.000
Pd1 Pd 0.000 0.000 0.000
Cl1 Cl 0.500 0.500 0.500

=====

Record 4
# PBE-GGA Tc2PdCl8, optimized geometry
# DFT total energy	-4.060	eV per atom
# symmetry	No. 12
# raw formation energy	-0.36	eV/atom
# volume	32.33	Å³/atom
data_Tc2PdCl8
_symmetry_space_group_name_H-M 'P 1'
_symmetry_Int_Tables_number 1
_symmetry_space_group_name_Hall 'P 1'
_cell_length_a 7.771
_cell_length_b 7.771
_cell_length_c 5.950
_cell_angle_alpha 90.05
_cell_angle_beta 90.05
_cell_angle_gamma 81.76
loop_
_atom_site_label
_atom_site_type_symbol
_atom_site_fract_x
_atom_site_fract_y
_atom_site_fract_z
Tc1 Tc 0.168 0.168 0.319
Tc2 Tc 0.832 0.832 0.681
Pd1 Pd 0.000 0.000 0.000
Cl1 Cl 0.091 0.664 0.760
Cl2 Cl 0.146 0.146 0.701
Cl3 Cl 0.336 0.909 0.240
Cl4 Cl 0.353 0.353 0.239
Cl5 Cl 0.647 0.647 0.761
Cl6 Cl 0.664 0.091 0.760
Cl7 Cl 0.854 0.854 0.299
Cl8 Cl 0.909 0.336 0.240

=====

Record 5
# PBE-GGA Tc3PdCl, optimized geometry
# DFT total energy	-6.578	eV per atom
# relative energy among the computed polymorphs	0.0000	eV/atom
# symmetry	No. 221
# raw formation energy	1.05	eV/atom
# volume	16.09	Å³/atom
data_Tc3PdCl
_symmetry_space_group_name_H-M 'P 1'
_symmetry_Int_Tables_number 1
_symmetry_space_group_name_Hall 'P 1'
_cell_length_a 4.317
_cell_length_b 4.317
_cell_length_c 4.317
_cell_angle_alpha 90.00
_cell_angle_beta 90.00
_cell_angle_gamma 90.00
loop_
_atom_site_label
_atom_site_type_symbol
_atom_site_fract_x
_atom_site_fract_y
_atom_site_fract_z
Tc1 Tc 0.000 0.000 0.500
Tc2 Tc 0.000 0.500 0.000
Tc3 Tc 0.500 0.000 0.000
Pd1 Pd 0.500 0.500 0.500
Cl1 Cl 0.000 0.000 0.000

=====

Record 6
# PBE-GGA TcPd3Cl, optimized geometry
# DFT total energy	-4.451	eV per atom
# relative energy among the computed polymorphs	0.1967	eV/atom
# symmetry	No. 221
# raw formation energy	1.11	eV/atom
# volume	22.36	Å³/atom
data_TcPd3Cl
_symmetry_space_group_name_H-M 'P 1'
_symmetry_Int_Tables_number 1
_symmetry_space_group_name_Hall 'P 1'
_cell_length_a 4.817
_cell_length_b 4.817
_cell_length_c 4.817
_cell_angle_alpha 90.00
_cell_angle_beta 90.00
_cell_angle_gamma 90.00
loop_
_atom_site_label
_atom_site_type_symbol
_atom_site_fract_x
_atom_site_fract_y
_atom_site_fract_z
Tc1 Tc 0.000 0.000 0.000
Pd1 Pd 0.000 0.000 0.500
Pd2 Pd 0.000 0.500 0.000
Pd3 Pd 0.500 0.000 0.000
Cl1 Cl 0.500 0.500 0.500

=====

Record 7
# PBE-GGA TcPd3Cl, optimized geometry
# DFT total energy	-4.648	eV per atom
# relative energy among the computed polymorphs	0.0000	eV/atom
# symmetry	No. 221
# raw formation energy	0.91	eV/atom
# volume	18.59	Å³/atom
data_TcPd3Cl
_symmetry_space_group_name_H-M 'P 1'
_symmetry_Int_Tables_number 1
_symmetry_space_group_name_Hall 'P 1'
_cell_length_a 4.530
_cell_length_b 4.530
_cell_length_c 4.530
_cell_angle_alpha 90.00
_cell_angle_beta 90.00
_cell_angle_gamma 90.00
loop_
_atom_site_label
_atom_site_type_symbol
_atom_site_fract_x
_atom_site_fract_y
_atom_site_fract_z
Tc1 Tc 0.000 0.000 0.000
Pd1 Pd 0.000 0.500 0.500
Pd2 Pd 0.500 0.000 0.500
Pd3 Pd 0.500 0.500 0.000
Cl1 Cl 0.500 0.500 0.500

=====

Record 8
# PBE-GGA TlTcPdCl6, optimized geometry
# DFT total energy	-3.858	eV per atom
# symmetry	No. 1
# raw formation energy	-0.64	eV/atom
# volume	29.07	Å³/atom
data_TlTcPdCl6
_symmetry_space_group_name_H-M 'P 1'
_symmetry_Int_Tables_number 1
_symmetry_space_group_name_Hall 'P 1'
_cell_length_a 6.432
_cell_length_b 6.436
_cell_length_c 6.875
_cell_angle_alpha 93.45
_cell_angle_beta 93.53
_cell_angle_gamma 112.39
loop_
_atom_site_label
_atom_site_type_symbol
_atom_site_fract_x
_atom_site_fract_y
_atom_site_fract_z
Tl1 Tl 0.000 0.000 0.000
Tc1 Tc 0.638 0.362 0.500
Pd1 Pd 0.293 0.707 0.500
Cl1 Cl 0.341 0.410 0.290
Cl2 Cl 0.349 0.077 0.648
Cl3 Cl 0.590 0.658 0.710
Cl4 Cl 0.651 0.091 0.264
Cl5 Cl 0.909 0.348 0.734
Cl6 Cl 0.923 0.651 0.351

=====

Record 9
# PBE-GGA YTcPdCl2, optimized geometry
# DFT total energy	-5.039	eV per atom
# relative energy among the computed polymorphs	0.0000	eV/atom
# symmetry	No. 123
# raw formation energy	0.10	eV/atom
# volume	24.48	Å³/atom
data_YTcPdCl2
_symmetry_space_group_name_H-M 'P 1'
_symmetry_Int_Tables_number 1
_symmetry_space_group_name_Hall 'P 1'
_cell_length_a 4.483
_cell_length_b 4.483
_cell_length_c 6.089
_cell_angle_alpha 90.00
_cell_angle_beta 90.00
_cell_angle_gamma 90.00
loop_
_atom_site_label
_atom_site_type_symbol
_atom_site_fract_x
_atom_site_fract_y
_atom_site_fract_z
Y1 Y 0.000 0.000 0.000
Tc1 Tc 0.000 0.000 0.500
Pd1 Pd 0.500 0.500 0.000
Cl1 Cl 0.000 0.500 0.500
Cl2 Cl 0.500 0.000 0.500

=====

Record 10
# PBE-GGA YTcPdCl2, optimized geometry
# DFT total energy	-4.839	eV per atom
# relative energy among the computed polymorphs	0.1999	eV/atom
# symmetry	No. 123
# raw formation energy	0.30	eV/atom
# volume	31.35	Å³/atom
data_YTcPdCl2
_symmetry_space_group_name_H-M 'P 1'
_symmetry_Int_Tables_number 1
_symmetry_space_group_name_Hall 'P 1'
_cell_length_a 5.007
_cell_length_b 5.007
_cell_length_c 6.250
_cell_angle_alpha 90.00
_cell_angle_beta 90.00
_cell_angle_gamma 90.00
loop_
_atom_site_label
_atom_site_type_symbol
_atom_site_fract_x
_atom_site_fract_y
_atom_site_fract_z
Y1 Y 0.000 0.000 0.000
Tc1 Tc 0.000 0.000 0.500
Pd1 Pd 0.500 0.500 0.500
Cl1 Cl 0.000 0.500 0.000
Cl2 Cl 0.500 0.000 0.000